Entry 1:
# YCr3Pd (PBEsol, optimized geometry)
# Calculated volume in Å³ per atom: 21.60
# Crystal system: cubic
# DFT total energy in Ry/atom: -0.5564
# Density in g cm⁻³: 5.40
data_YCr3Pd
_cell_length_a 4.7625
_cell_length_b 4.7625
_cell_length_c 4.7625
_cell_angle_alpha 90.00
_cell_angle_beta 90.00
_cell_angle_gamma 90.00
_symmetry_space_group_name_H-M 'P m -3 m'
_symmetry_Int_Tables_number 221
_symmetry_space_group_name_Hall '-P 4 2 3'
loop_
_atom_site_label
_atom_site_type_symbol
_atom_site_fract_x
_atom_site_fract_y
_atom_site_fract_z
_atom_site_occupancy
Y1 Y 0.0000 0.0000 0.0000 1
Cr1 Cr 0.0000 0.5000 0.5000 1
Pd1 Pd 0.5000 0.5000 0.5000 1

=====

Entry 2:
# Sn3HgP (PBEsol, optimized geometry)
# Calculated volume in Å³ per atom: 31.00
# Crystal system: cubic
# DFT total energy in Ry/atom: -0.2158
# Density in g cm⁻³: 6.30
data_Sn3HgP
_cell_length_a 5.3716
_cell_length_b 5.3716
_cell_length_c 5.3716
_cell_angle_alpha 90.00
_cell_angle_beta 90.00
_cell_angle_gamma 90.00
_symmetry_space_group_name_H-M 'P m -3 m'
_symmetry_Int_Tables_number 221
_symmetry_space_group_name_Hall '-P 4 2 3'
loop_
_atom_site_label
_atom_site_type_symbol
_atom_site_fract_x
_atom_site_fract_y
_atom_site_fract_z
_atom_site_occupancy
Sn1 Sn 0.0000 0.0000 0.5000 1
Hg1 Hg 0.0000 0.0000 0.0000 1
P1 P 0.5000 0.5000 0.5000 1

=====

Entry 3:
# CaNiO2 (PBEsol, optimized geometry)
# Calculated volume in Å³ per atom: 10.27
# Crystal system: cubic
# DFT total energy in Ry/atom: -0.4378
# Density in g cm⁻³: 5.29
data_CaNiO2
_cell_length_a 5.4767
_cell_length_b 5.4767
_cell_length_c 5.4767
_cell_angle_alpha 90.00
_cell_angle_beta 90.00
_cell_angle_gamma 90.00
_symmetry_space_group_name_H-M 'F m -3 m'
_symmetry_Int_Tables_number 225
_symmetry_space_group_name_Hall '-F 4 2 3'
loop_
_atom_site_label
_atom_site_type_symbol
_atom_site_fract_x
_atom_site_fract_y
_atom_site_fract_z
_atom_site_occupancy
Ca1 Ca 0.0000 0.0000 0.0000 1
Ni1 Ni 0.0000 0.0000 0.5000 1
O1 O 0.2500 0.2500 0.2500 1

=====

Entry 4:
# CsPbBr3 (PBEsol, optimized geometry)
# Calculated volume in Å³ per atom: 39.01
# Crystal system: orthorhombic
# DFT total energy in Ry/atom: -0.2482
# Density in g cm⁻³: 4.94
data_CsPbBr3
_cell_length_a 5.9531
_cell_length_b 11.4478
_cell_length_c 11.4475
_cell_angle_alpha 90.00
_cell_angle_beta 90.00
_cell_angle_gamma 90.00
_symmetry_space_group_name_H-M 'A m m 2'
_symmetry_Int_Tables_number 38
_symmetry_space_group_name_Hall 'A 2 -2'
loop_
_atom_site_label
_atom_site_type_symbol
_atom_site_fract_x
_atom_site_fract_y
_atom_site_fract_z
_atom_site_occupancy
Cs1 Cs 0.0000 0.0000 0.0000 1
Cs2 Cs 0.0000 0.0000 0.4930 1
Pb1 Pb 0.5000 0.2494 0.7441 1
Br1 Br 0.0000 0.2490 0.2439 1
Br2 Br 0.5000 0.0000 0.3082 1
Br3 Br 0.5000 0.0000 0.6761 1
Br4 Br 0.5000 0.1839 0.9943 1

=====

Entry 5:
# NiPb2 (PBEsol, optimized geometry)
# Calculated volume in Å³ per atom: 23.00
# Crystal system: tetragonal
# DFT total energy in Ry/atom: -0.3276
# Density in g cm⁻³: 11.38
data_NiPb2
_cell_length_a 4.6085
_cell_length_b 4.6085
_cell_length_c 3.2496
_cell_angle_alpha 90.00
_cell_angle_beta 90.00
_cell_angle_gamma 90.00
_symmetry_space_group_name_H-M 'P 4/m m m'
_symmetry_Int_Tables_number 123
_symmetry_space_group_name_Hall '-P 4 2'
loop_
_atom_site_label
_atom_site_type_symbol
_atom_site_fract_x
_atom_site_fract_y
_atom_site_fract_z
_atom_site_occupancy
Ni1 Ni 0.0000 0.0000 0.0000 1
Pb1 Pb 0.0000 0.5000 0.5000 1

=====

Entry 6:
# Li3GaSn (PBEsol, optimized geometry)
# Calculated volume in Å³ per atom: 26.20
# Crystal system: cubic
# DFT total energy in Ry/atom: -0.1864
# Density in g cm⁻³: 2.65
data_Li3GaSn
_cell_length_a 5.0788
_cell_length_b 5.0788
_cell_length_c 5.0788
_cell_angle_alpha 90.00
_cell_angle_beta 90.00
_cell_angle_gamma 90.00
_symmetry_space_group_name_H-M 'P m -3 m'
_symmetry_Int_Tables_number 221
_symmetry_space_group_name_Hall '-P 4 2 3'
loop_
_atom_site_label
_atom_site_type_symbol
_atom_site_fract_x
_atom_site_fract_y
_atom_site_fract_z
_atom_site_occupancy
Li1 Li 0.0000 0.0000 0.5000 1
Ga1 Ga 0.5000 0.5000 0.5000 1
Sn1 Sn 0.0000 0.0000 0.0000 1

=====

Entry 7:
# Bi2Te2WO10 (PBEsol, optimized geometry)
# Calculated volume in Å³ per atom: 14.03
# Crystal system: monoclinic
# DFT total energy in Ry/atom: -0.5086
# Density in g cm⁻³: 8.03
data_Bi2Te2WO10
_cell_length_a 12.4080
_cell_length_b 5.5602
_cell_length_c 12.2021
_cell_angle_alpha 90.00
_cell_angle_beta 91.13
_cell_angle_gamma 90.00
_symmetry_space_group_name_H-M 'C 1 2/c 1'
_symmetry_Int_Tables_number 15
_symmetry_space_group_name_Hall '-C 2yc'
loop_
_atom_site_label
_atom_site_type_symbol
_atom_site_fract_x
_atom_site_fract_y
_atom_site_fract_z
_atom_site_occupancy
Bi1 Bi 0.0937 0.2476 0.0479 1
Te1 Te 0.1951 0.2690 0.3578 1
W1 W 0.0000 0.1887 0.7500 1
O1 O 0.0033 0.0966 0.8994 1
O2 O 0.0767 0.3955 0.4388 1
O3 O 0.1119 0.3930 0.7392 1
O4 O 0.1180 0.1025 0.2439 1
O5 O 0.2210 0.0041 0.9527 1

=====

Entry 8:
# MnTeCl2 (PBEsol, optimized geometry)
# Calculated volume in Å³ per atom: 21.08
# Crystal system: orthorhombic
# DFT total energy in Ry/atom: -0.3009
# Energy relative to the lowest polymorph listed for this composition in eV/atom: 0.3749
# Density in g cm⁻³: 4.99
data_MnTeCl2
_cell_length_a 6.1483
_cell_length_b 8.6074
_cell_length_c 3.1865
_cell_angle_alpha 90.00
_cell_angle_beta 90.00
_cell_angle_gamma 90.00
_symmetry_space_group_name_H-M 'C m m m'
_symmetry_Int_Tables_number 65
_symmetry_space_group_name_Hall '-C 2 2'
loop_
_atom_site_label
_atom_site_type_symbol
_atom_site_fract_x
_atom_site_fract_y
_atom_site_fract_z
_atom_site_occupancy
Mn1 Mn 0.0000 0.0000 0.0000 1
Te1 Te 0.0000 0.5000 0.0000 1
Cl1 Cl 0.2500 0.2500 0.5000 1

=====

Entry 9:
# Ca2ZnIn (PBEsol, optimized geometry)
# Calculated volume in Å³ per atom: 25.51
# Crystal system: cubic
# DFT total energy in Ry/atom: -0.1890
# Density in g cm⁻³: 4.24
data_Ca2ZnIn
_cell_length_a 7.4179
_cell_length_b 7.4179
_cell_length_c 7.4179
_cell_angle_alpha 90.00
_cell_angle_beta 90.00
_cell_angle_gamma 90.00
_symmetry_space_group_name_H-M 'F m -3 m'
_symmetry_Int_Tables_number 225
_symmetry_space_group_name_Hall '-F 4 2 3'
loop_
_atom_site_label
_atom_site_type_symbol
_atom_site_fract_x
_atom_site_fract_y
_atom_site_fract_z
_atom_site_occupancy
Ca1 Ca 0.2500 0.2500 0.2500 1
Zn1 Zn 0.0000 0.0000 0.0000 1
In1 In 0.0000 0.0000 0.5000 1

=====

Entry 10:
# HgPtAu2 (PBEsol, optimized geometry)
# Calculated volume in Å³ per atom: 17.24
# Crystal system: trigonal
# DFT total energy in Ry/atom: -0.2761
# Density in g cm⁻³: 19.01
data_HgPtAu2
_cell_length_a 2.8975
_cell_length_b 2.8975
_cell_length_c 28.4610
_cell_angle_alpha 90.00
_cell_angle_beta 90.00
_cell_angle_gamma 120.00
_symmetry_space_group_name_H-M 'R -3 m'
_symmetry_Int_Tables_number 166
_symmetry_space_group_name_Hall '-R 3 2"'
loop_
_atom_site_label
_atom_site_type_symbol
_atom_site_fract_x
_atom_site_fract_y
_atom_site_fract_z
_atom_site_occupancy
Hg1 Hg 0.0000 0.0000 0.0000 1
Pt1 Pt 0.0000 0.0000 0.5000 1
Au1 Au 0.0000 0.0000 0.2464 1

=====

Entry 11:
# Ca5Mg3 (PBEsol, optimized geometry)
# Calculated volume in Å³ per atom: 32.70
# Crystal system: orthorhombic
# DFT total energy in Ry/atom: -0.1480
# Energy relative to the lowest polymorph listed for this composition in eV/atom: 0.0000
# Density in g cm⁻³: 1.74
data_Ca5Mg3
_cell_length_a 8.1538
_cell_length_b 11.3321
_cell_length_c 5.6618
_cell_angle_alpha 90.00
_cell_angle_beta 90.00
_cell_angle_gamma 90.00
_symmetry_space_group_name_H-M 'C m m m'
_symmetry_Int_Tables_number 65
_symmetry_space_group_name_Hall '-C 2 2'
loop_
_atom_site_label
_atom_site_type_symbol
_atom_site_fract_x
_atom_site_fract_y
_atom_site_fract_z
_atom_site_occupancy
Ca1 Ca 0.0000 0.0000 0.0000 1
Ca2 Ca 0.2283 0.5000 0.5000 1
Ca3 Ca 0.2500 0.2500 0.0000 1
Mg1 Mg 0.0000 0.2365 0.5000 1
Mg2 Mg 0.0000 0.5000 0.0000 1

=====

Entry 12:
# MgCrSi2 (PBEsol, optimized geometry)
# Calculated volume in Å³ per atom: 14.06
# Crystal system: orthorhombic
# DFT total energy in Ry/atom: -0.4108
# Density in g cm⁻³: 3.91
data_MgCrSi2
_cell_length_a 3.3722
_cell_length_b 4.1182
_cell_length_c 8.1019
_cell_angle_alpha 90.00
_cell_angle_beta 90.00
_cell_angle_gamma 90.00
_symmetry_space_group_name_H-M 'C m m 2'
_symmetry_Int_Tables_number 35
_symmetry_space_group_name_Hall 'C 2 -2'
loop_
_atom_site_label
_atom_site_type_symbol
_atom_site_fract_x
_atom_site_fract_y
_atom_site_fract_z
_atom_site_occupancy
Mg1 Mg 0.0000 0.0000 0.0000 1
Cr1 Cr 0.0000 0.5000 0.2612 1
Si1 Si 0.0000 0.0000 0.4681 1
Si2 Si 0.0000 0.5000 0.7188 1